Na3Nd2HfTe6 | PBE-GGA | optimized geometry

Unit cell a=7.6115 b=7.6115 c=8.0411 alpha=99.15 beta=99.15 gamma=120.03
With the nearest neighbours (Å) after each atom.
Atoms (fractional coordinates):
1 Te 0.0777 0.3885 0.2337  1 Hf 2.96, 2 Nd 3.18, 2 Na 3.19
2 Hf 0.0000 0.0000 0.0000  6 Te 2.95-2.96
3 Te 0.2307 0.2307 0.7660  1 Hf 2.95, 2 Nd 3.17, 2 Na 3.24
4 Te 0.7693 0.7693 0.2340  1 Hf 2.95, 2 Nd 3.17, 2 Na 3.24
5 Te 0.6115 0.9223 0.7663  1 Hf 2.96, 2 Nd 3.18, 2 Na 3.19
6 Te 0.3885 0.0777 0.2337  1 Hf 2.96, 2 Nd 3.18, 2 Na 3.19
7 Nd 0.3344 0.6656 0.0000  6 Te 3.17-3.18
8 Te 0.9223 0.6115 0.7663  1 Hf 2.96, 2 Nd 3.18, 2 Na 3.19
9 Na 0.5000 0.5000 0.5000  6 Te 3.19-3.40
10 Na 0.1739 0.8261 0.5000  6 Te 3.19-3.32
11 Nd 0.6656 0.3344 0.0000  6 Te 3.17-3.18
12 Na 0.8261 0.1739 0.5000  6 Te 3.19-3.32

Summary:
V in Å³ per cell: 382.38
Spin magnetization in μB/atom: 0.00
Formation energy (no corrections) in meV/atom: -1139

***

NaHfNi2 | PBE-GGA | optimized geometry

Unit cell a=6.9353 b=6.9353 c=5.6613 alpha=52.23 beta=52.23 gamma=90.00
With the nearest neighbours (Å) after each atom.
Atoms (fractional coordinates):
1 Ni 0.1101 0.6250 0.2500  2 Hf 2.48, 2 Na 2.62
2 Na 0.2500 0.7500 0.5000  4 Ni 2.62, 2 Hf 2.83
3 Ni 0.8750 0.8899 0.7500  2 Hf 2.48, 2 Na 2.62
4 Ni 0.6399 0.1250 0.2500  2 Hf 2.48, 2 Na 2.62
5 Hf 0.0000 0.0000 0.0000  4 Ni 2.48
6 Ni 0.3750 0.3601 0.7500  2 Hf 2.48, 2 Na 2.62
7 Hf 0.7500 0.2500 0.5000  4 Ni 2.48
8 Na 0.5000 0.5000 0.0000  4 Ni 2.62, 2 Hf 2.83

Summary:
V in Å³ per cell: 136.05
Spin magnetization in μB/atom: 0.00
E_form in eV per atom: 0.408
Relative energy among the computed polymorphs in meV/atom: 278

***

NaHfNi4 | PBE-GGA | optimized geometry

Unit cell a=4.8680 b=4.8680 c=4.8680 alpha=60.00 beta=60.00 gamma=60.00
With the nearest neighbours (Å) after each atom.
Atoms (fractional coordinates):
1 Ni 0.6251 0.6251 0.1247  6 Ni 2.43-2.44
2 Ni 0.6251 0.6251 0.6251  6 Ni 2.43-2.44
3 Ni 0.6251 0.1247 0.6251  6 Ni 2.43-2.44
4 Hf 0.2500 0.2500 0.2500  12 Ni 2.85, 4 Na 2.98
5 Ni 0.1247 0.6251 0.6251  6 Ni 2.43-2.44
6 Na 0.0000 0.0000 0.0000  12 Ni 2.85, 4 Hf 2.98

Summary:
V in Å³ per cell: 81.57
Spin magnetization in μB/atom: 0.00
E_form in eV per atom: -0.141